1.
First-principles (PBE) data for a geometry-optimized LaCr2W structure, as listed in Alexandria via LeMat-Bulk.

Structure (POSCAR):
```
LaCr2W
1.0
3.0685 0.0000 0.0000
0.0000 3.0506 0.2787
0.0000 2.3477 7.9566
Cr W La
2 1 1
Direct
0.0000 0.9960 0.0040 Cr
0.5000 0.3258 0.1742 Cr
0.5000 0.6812 0.8188 W
0.0000 0.4970 0.5031 La
```

The value obtained for the density of states at the Fermi level is 0.98 states/eV/atom. As for the space group: No. 99. As for the formation energy: 0.515 eV/atom. As for the polymorph energy (0 for the lowest one): 58.3 meV/atom.

***

2.
First-principles (PBE) data for a geometry-optimized LaCr2W structure, as listed in Alexandria via LeMat-Bulk.

Structure (POSCAR):
```
LaCr2W
1.0
-0.9260 -1.4615 -2.2421
-1.6560 -0.2890 2.2792
-4.9468 7.2397 -2.6761
Cr W La
2 1 1
Direct
0.5000 0.5000 0.1995 Cr
0.0000 0.0000 0.0164 Cr
0.5000 0.5000 0.7964 W
0.0000 0.0000 0.4877 La
```

The value obtained for the density of states at the Fermi level is 0.99 states/eV/atom. As for the space group: No. 35. As for the formation energy: 0.637 eV/atom. As for the polymorph energy (0 for the lowest one): 180.0 meV/atom.

***

3.
First-principles (PBE) data for a geometry-optimized LaCr2W structure, as listed in Alexandria via LeMat-Bulk.

Structure (POSCAR):
```
LaCr2W
1.0
3.1365 0.0000 0.0000
0.0000 3.1364 0.0000
0.0000 0.0000 7.4842
Cr La W
2 1 1
Direct
0.0000 0.0000 0.9368 Cr
0.0000 0.0000 0.5632 Cr
0.5000 0.5000 0.2500 La
0.5000 0.5000 0.7500 W
```

The value obtained for the density of states at the Fermi level is 1.47 states/eV/atom. As for the space group: No. 123. As for the formation energy: 0.457 eV/atom. As for the polymorph energy (0 for the lowest one): 0.0 meV/atom.

***

4.
First-principles (PBE) data for a geometry-optimized LaCr2W structure, as listed in Alexandria via LeMat-Bulk.

Structure (POSCAR):
```
LaCr2W
1.0
-1.3565 2.4912 -3.7570
1.2875 0.8125 -4.4546
-3.1170 -3.5850 -3.1872
W Cr La
1 2 1
Direct
0.2894 0.2894 0.1325 W
0.7090 0.7090 0.8711 Cr
0.0101 0.0101 0.9877 Cr
0.4915 0.4915 0.5087 La
```

The value obtained for the density of states at the Fermi level is 1.26 states/eV/atom. As for the space group: No. 8. As for the formation energy: 0.680 eV/atom. As for the polymorph energy (0 for the lowest one): 223.3 meV/atom.

***

5.
First-principles (PBE) data for a geometry-optimized LaCr2W structure, as listed in Alexandria via LeMat-Bulk.

Structure (POSCAR):
```
LaCr2W
1.0
4.2762 0.0359 -0.1169
3.1639 2.8770 -0.1169
0.6826 0.2672 6.3020
W Cr La
1 2 1
Direct
0.2500 0.2500 0.2500 W
0.9788 0.9788 0.0820 Cr
0.5212 0.5212 0.4180 Cr
0.7500 0.7500 0.7500 La
```

The value obtained for the density of states at the Fermi level is 1.26 states/eV/atom. As for the space group: No. 12. As for the formation energy: 0.684 eV/atom. As for the polymorph energy (0 for the lowest one): 227.1 meV/atom.

***

6.
First-principles (PBE) data for a geometry-optimized LaCrW2 structure, as listed in Alexandria via LeMat-Bulk.

Structure (POSCAR):
```
LaCrW2
1.0
2.8623 -0.0026 0.0000
-1.0896 2.6468 0.0000
0.0000 0.0000 9.4580
W La Cr
2 1 1
Direct
0.0000 0.0000 0.0334 W
0.5000 0.5000 0.2628 W
0.5000 0.5000 0.7370 La
0.0000 0.0000 0.4668 Cr
```

The value obtained for the density of states at the Fermi level is 0.89 states/eV/atom. As for the space group: No. 35. As for the formation energy: 0.569 eV/atom. As for the polymorph energy (0 for the lowest one): 76.5 meV/atom.

***

7.
First-principles (PBE) data for a geometry-optimized LaCr2W structure, as listed in Alexandria via LeMat-Bulk.

Structure (POSCAR):
```
LaCr2W
1.0
-1.3102 2.5172 -3.6839
-4.4386 -1.1262 0.8090
-3.6934 7.4455 3.4661
W Cr La
2 4 2
Direct
0.7500 0.2500 0.5000 W
0.0000 0.0000 0.0000 W
0.8750 0.6250 0.2500 Cr
0.8750 0.1250 0.2500 Cr
0.3750 0.1250 0.7500 Cr
0.8750 0.1250 0.7500 Cr
0.5000 0.5000 0.0000 La
0.2500 0.7500 0.5000 La
```

The value obtained for the density of states at the Fermi level is 1.14 states/eV/atom. As for the space group: No. 141. As for the formation energy: 1.079 eV/atom. As for the polymorph energy (0 for the lowest one): 621.4 meV/atom.

***

8.
First-principles (PBE) data for a geometry-optimized LaCrW2 structure, as listed in Alexandria via LeMat-Bulk.

Structure (POSCAR):
```
LaCrW2
1.0
5.4570 0.0351 0.0005
2.1270 5.0255 -0.0005
-3.0282 -3.6750 2.6654
W La Cr
2 1 1
Direct
0.7327 0.2327 0.5000 W
0.9874 0.9874 0.0000 W
0.2621 0.7621 0.5000 La
0.5179 0.5179 0.0000 Cr
```

The value obtained for the density of states at the Fermi level is 1.19 states/eV/atom. As for the space group: No. 44. As for the formation energy: 0.891 eV/atom. As for the polymorph energy (0 for the lowest one): 397.9 meV/atom.

***

no.,volume (Å³/atom),electronic total energy (eV for the cell shown),total magnetization (μB/cell)
1,18.12,-35.07,1.9
2,16.90,-34.58,0.0
3,18.41,-35.30,3.7
4,19.45,-34.41,0.0
5,19.27,-34.39,2.7
6,17.91,-38.18,0.0
7,22.66,-65.63,1.9
8,18.22,-36.89,0.0